No. 1
Compound: Li2LaSm
Source: the Alexandria database
Functional: PBE
Structure: optimized geometry

extended XYZ file:
```
16
Lattice="7.6717 0.0000 0.0000 0.0000 7.6717 0.0000 0.0000 0.0000 7.6717" Properties=species:S:1:pos:R:3 pbc="T T T"
Li 1.9179 1.9179 1.9179
Li 1.9179 1.9179 5.7538
Li 1.9179 5.7538 1.9179
Li 1.9179 5.7538 5.7538
Li 5.7538 1.9179 1.9179
Li 5.7538 1.9179 5.7538
Li 5.7538 5.7538 1.9179
Li 5.7538 5.7538 5.7538
La 0.0000 0.0000 0.0000
La 0.0000 3.8359 3.8359
La 3.8359 0.0000 3.8359
La 3.8359 3.8359 0.0000
Sm 0.0000 0.0000 3.8359
Sm 0.0000 3.8359 0.0000
Sm 3.8359 0.0000 0.0000
Sm 3.8359 3.8359 3.8359
```

* V: 28.22 Å³/atom
* space-group type: No. 225
* electronic total energy: -3.214 eV per atom
* energy of formation from the pure elements: 0.15 eV/atom
* D(E_F): 1.5153 states/eV per atom
* excess energy over the best structure of this formula in the dataset: 2 meV per atom

---

No. 2
Compound: LiLaSm
Source: the Alexandria database
Functional: PBE
Structure: optimized geometry

extended XYZ file:
```
6
Lattice="3.7904 0.0000 0.0000 0.0000 3.7904 0.0000 0.0000 0.0000 12.7396" Properties=species:S:1:pos:R:3 pbc="T T T"
Li 0.0000 0.0000 0.0000
Li 1.8952 1.8952 6.3698
La 0.0000 0.0000 4.3382
La 1.8952 1.8952 10.7081
Sm 0.0000 0.0000 8.2403
Sm 1.8952 1.8952 1.8704
```

* V: 30.51 Å³/atom
* space-group type: No. 107
* electronic total energy: -3.770 eV per atom
* energy of formation from the pure elements: 0.08 eV/atom
* D(E_F): 1.5324 states/eV per atom
* excess energy over the best structure of this formula in the dataset: 0 meV per atom

---

No. 3
Compound: LiLa6Sm
Source: the Alexandria database
Functional: PBE
Structure: optimized geometry

extended XYZ file:
```
16
Lattice="5.9053 0.0000 0.0000 0.0000 5.9053 0.0000 0.0000 0.0000 15.9338" Properties=species:S:1:pos:R:3 pbc="T T T"
Li 0.0000 0.0000 0.0000
Li 2.9526 2.9526 7.9669
La 0.0000 0.0000 4.1722
La 0.0000 0.0000 11.7615
La 0.0000 2.9526 1.7863
La 0.0000 2.9526 6.1805
La 0.0000 2.9526 9.7532
La 0.0000 2.9526 14.1474
La 2.9526 0.0000 1.7863
La 2.9526 0.0000 6.1805
La 2.9526 0.0000 9.7532
La 2.9526 0.0000 14.1474
La 2.9526 2.9526 3.7947
La 2.9526 2.9526 12.1391
Sm 0.0000 0.0000 7.9669
Sm 2.9526 2.9526 0.0000
```

* V: 34.73 Å³/atom
* space-group type: No. 139
* electronic total energy: -4.425 eV per atom
* energy of formation from the pure elements: 0.10 eV/atom
* D(E_F): 1.8269 states/eV per atom

---

No. 4
Compound: Li2LaSm
Source: the Alexandria database
Functional: PBE
Structure: optimized geometry

extended XYZ file:
```
12
Lattice="3.3726 0.0000 0.0000 -1.6863 2.9208 0.0000 0.0000 0.0000 36.5507" Properties=species:S:1:pos:R:3 pbc="T T T"
Li 0.0000 0.0000 3.2722
Li 0.0000 0.0000 33.2785
Li 0.0000 1.9472 21.0950
Li 0.0000 1.9472 27.6393
Li 1.6863 0.9736 8.9114
Li 1.6863 0.9736 15.4557
La 0.0000 0.0000 0.0000
La 0.0000 1.9472 24.3672
La 1.6863 0.9736 12.1836
Sm 0.0000 0.0000 18.2754
Sm 0.0000 1.9472 6.0918
Sm 1.6863 0.9736 30.4589
```

* V: 30.00 Å³/atom
* space-group type: No. 166
* electronic total energy: -3.119 eV per atom
* energy of formation from the pure elements: 0.25 eV/atom
* D(E_F): 1.3113 states/eV per atom
* excess energy over the best structure of this formula in the dataset: 97 meV per atom

---

No. 5
Compound: LiLa4Sm
Source: the Alexandria database
Functional: PBE
Structure: optimized geometry

extended XYZ file:
```
6
Lattice="3.7225 0.0000 0.0000 0.0000 3.7225 0.0000 0.0000 0.0000 14.5723" Properties=species:S:1:pos:R:3 pbc="T T T"
Li 0.0000 0.0000 0.0000
La 0.0000 0.0000 4.6986
La 0.0000 0.0000 9.8737
La 1.8613 1.8613 2.1990
La 1.8613 1.8613 12.3733
Sm 1.8613 1.8613 7.2862
```

* V: 33.66 Å³/atom
* space-group type: No. 123
* electronic total energy: -4.351 eV per atom
* energy of formation from the pure elements: 0.04 eV/atom
* D(E_F): 1.5659 states/eV per atom

---

No. 6
Compound: LiLa6Sm2
Source: the Alexandria database
Functional: PBE
Structure: optimized geometry

extended XYZ file:
```
9
Lattice="3.6660 0.0000 0.0000 -1.8330 3.1749 0.0000 0.0000 0.0000 27.4001" Properties=species:S:1:pos:R:3 pbc="T T T"
Li 0.0000 0.0000 0.0000
La 0.0000 0.0000 5.9058
La 0.0000 0.0000 11.9223
La 0.0000 0.0000 15.4778
La 0.0000 0.0000 21.4944
La 0.0000 2.1166 2.8436
La 0.0000 2.1166 24.5566
Sm 0.0000 2.1166 8.9797
Sm 0.0000 2.1166 18.4205
```

* V: 35.44 Å³/atom
* space-group type: No. 187
* electronic total energy: -4.463 eV per atom
* energy of formation from the pure elements: 0.08 eV/atom
* D(E_F): 1.8037 states/eV per atom

---

Question: The lowest V belongs to which entry?
Answer: number 1

---

Question: Which value of D(E_F) does entry 2 give?
Answer: 1.5324 states/eV per atom

---

What did the fourth record say?
Compound: Li2LaSm
Source: the Alexandria database
Functional: PBE
Structure: optimized geometry

extended XYZ file:
```
12
Lattice="3.3726 0.0000 0.0000 -1.6863 2.9208 0.0000 0.0000 0.0000 36.5507" Properties=species:S:1:pos:R:3 pbc="T T T"
Li 0.0000 0.0000 3.2722
Li 0.0000 0.0000 33.2785
Li 0.0000 1.9472 21.0950
Li 0.0000 1.9472 27.6393
Li 1.6863 0.9736 8.9114
Li 1.6863 0.9736 15.4557
La 0.0000 0.0000 0.0000
La 0.0000 1.9472 24.3672
La 1.6863 0.9736 12.1836
Sm 0.0000 0.0000 18.2754
Sm 0.0000 1.9472 6.0918
Sm 1.6863 0.9736 30.4589
```

* V: 30.00 Å³/atom
* space-group type: No. 166
* electronic total energy: -3.119 eV per atom
* energy of formation from the pure elements: 0.25 eV/atom
* D(E_F): 1.3113 states/eV per atom
* excess energy over the best structure of this formula in the dataset: 97 meV per atom